DyY7Ho4: optimized geometry, GGA-PBE.

Lattice parameters (Å, degrees): 6.7892 6.5009 11.6835 74.95 50.78 82.09
Positions (direct):
Dy  0.0000  0.0000  0.0000
Ho  0.3109  0.1604  0.3081
Ho  0.5283  0.6410  0.2836
Ho  0.4717  0.3590  0.7164
Ho  0.6891  0.8396  0.6919
Y  0.7211  0.1901  0.3874
Y  0.9436  0.6830  0.3615
Y  0.0564  0.3170  0.6385
Y  0.2789  0.8099  0.6126
Y  0.8011  0.5141  0.9493
Y  0.5000  0.0000  0.0000
Y  0.1989  0.4859  0.0507

Calculated values
Volume: 32.13 A^3/atom
Energy of formation from the pure elements: 0.09 eV/atom
Magnetization: 0.00 μB per cell
Symmetry: No. 2
Energy above the most stable polymorph in this dataset: 0 meV per atom